Below is a relaxed structure of RbMn2Ga, with properties calculated at the PBE-GGA level.

For the formation energy, the calculation gives 0.96 eV per atom. As for the space-group type: I4_1/amd, No. 141. The calculation puts the final energy at -37.012 eV per cell.

```
RbMn2Ga
1.0
-2.841 2.841 10.331
2.841 -2.841 10.331
2.841 2.841 -10.331
Rb Mn Ga
2 4 2
direct
0.375 0.625 0.750
0.625 0.375 0.250
0.000 0.000 0.000
0.000 0.000 0.500
0.000 0.500 0.000
0.500 0.000 0.500
0.125 0.875 0.250
0.875 0.125 0.750
```

Below is a relaxed structure of Li3CoC, with properties calculated at the PBE-GGA level.

As for the polymorph energy (0 for the lowest one): 0.000 eV per formula unit. For the formation energy, the calculation gives 0.85 eV per atom. As for the space-group type: Pm-3m, No. 221. The calculation puts the final energy at -17.833 eV per cell.

```
Li3CoC
1.0
3.938 0.000 0.000
0.000 3.938 0.000
0.000 0.000 3.938
Li Co C
3 1 1
direct
0.000 0.000 0.500
0.000 0.500 0.000
0.500 0.000 0.000
0.500 0.500 0.500
0.000 0.000 0.000
```

Below is a relaxed structure of Tb2SmHo6, with properties calculated at the PBE-GGA level.

As for the polymorph energy (0 for the lowest one): 0.000 eV per formula unit. For the formation energy, the calculation gives 0.07 eV per atom. As for the space-group type: Cmmm, No. 65. The calculation puts the final energy at -40.809 eV per cell.

```
Tb2SmHo6
1.0
2.804 -14.548 0.000
2.804 14.548 0.000
0.000 0.000 3.457
Tb Sm Ho
2 1 6
direct
0.167 0.833 0.000
0.833 0.167 0.000
0.500 0.500 0.000
0.056 0.944 0.500
0.277 0.723 0.500
0.388 0.612 0.500
0.612 0.388 0.500
0.723 0.277 0.500
0.944 0.056 0.500
```

Below is a relaxed structure of RbLiZnI4, with properties calculated at the PBE-GGA level.

Its formation energy from raw total energies is -1.016 eV/atom. As for the space-group type: P2_1/m, No. 11. The calculation puts the final energy at -34.940 eV per cell.

```
RbLiZnI4
1.0
6.992 0.000 0.000
0.000 9.015 0.000
-2.423 0.000 9.643
Rb Li Zn I
2 2 2 8
direct
0.208 0.250 0.082
0.792 0.750 0.918
0.303 0.250 0.679
0.697 0.750 0.321
0.196 0.750 0.308
0.804 0.250 0.692
0.050 0.022 0.728
0.050 0.478 0.728
0.365 0.750 0.091
0.492 0.750 0.526
0.508 0.250 0.474
0.635 0.250 0.909
0.950 0.522 0.272
0.950 0.978 0.272
```

Below is a relaxed structure of TbHoPaO6, with properties calculated at the PBE-GGA level.

Its formation energy from raw total energies is -3.223 eV/atom. As for the space-group type: P312, No. 149. The calculation puts the final energy at -77.460 eV per cell.

```
TbHoPaO6
1.0
5.790 0.000 0.000
-2.895 5.014 0.000
0.000 0.000 4.675
Tb Ho Pa O
1 1 1 6
direct
0.000 0.000 0.000
0.333 0.667 0.000
0.667 0.333 0.500
0.349 0.013 0.245
0.349 0.337 0.755
0.663 0.013 0.755
0.663 0.651 0.245
0.987 0.337 0.245
0.987 0.651 0.755
```

Below is a relaxed structure of Na2HfGeSe5, with properties calculated at the PBE-GGA level.

Its formation energy from raw total energies is -0.923 eV/atom. As for the space-group type: Cmc2_1, No. 36. The calculation puts the final energy at -85.885 eV per cell.

```
Na2HfGeSe5
1.0
1.931 -9.190 0.000
1.931 9.190 0.000
0.000 0.000 13.403
Na Hf Ge Se
4 2 2 10
direct
0.109 0.891 0.500
0.118 0.882 0.169
0.882 0.118 0.669
0.891 0.109 0.000
0.221 0.779 0.883
0.779 0.221 0.383
0.430 0.570 0.257
0.570 0.430 0.757
0.057 0.943 0.873
0.293 0.707 0.515
0.301 0.699 0.236
0.353 0.647 0.841
0.495 0.505 0.110
0.505 0.495 0.610
0.647 0.353 0.341
0.699 0.301 0.736
0.707 0.293 0.015
0.943 0.057 0.373
```

Below is a relaxed structure of TaBeSi, with properties calculated at the PBE-GGA level.

Its formation energy from raw total energies is -0.086 eV/atom. As for the space-group type: Fmm2, No. 42. The calculation puts the final energy at -21.261 eV per cell.

```
TaBeSi
1.0
0.000 2.360 4.547
1.879 0.000 4.547
1.879 2.360 0.000
Ta Be Si
1 1 1
direct
0.000 0.000 0.000
0.322 0.322 0.678
0.695 0.695 0.305
```

Below is a relaxed structure of LaSm2S3, with properties calculated at the PBE-GGA level.

Its formation energy from raw total energies is -2.067 eV/atom. As for the space-group type: Immm, No. 71. The calculation puts the final energy at -39.151 eV per cell.

```
LaSm2S3
1.0
-2.027 2.873 6.088
2.027 -2.873 6.088
2.027 2.873 -6.088
La Sm S
1 2 3
direct
0.000 0.000 0.000
0.334 0.334 0.000
0.666 0.666 0.000
0.172 0.672 0.500
0.500 0.000 0.500
0.828 0.328 0.500
```

Below is a relaxed structure of CeMn5Ge3, with properties calculated at the PBE-GGA level.

For the formation energy, the calculation gives -0.20 eV per atom. As for the space-group type: Cmcm, No. 63. The calculation puts the final energy at -134.815 eV per cell.

```
CeMn5Ge3
1.0
1.925 -6.203 0.000
1.925 6.203 0.000
0.000 0.000 11.795
Ce Mn Ge
2 10 6
direct
0.166 0.834 0.750
0.834 0.166 0.250
0.000 0.000 0.000
0.000 0.000 0.500
0.191 0.809 0.052
0.191 0.809 0.448
0.435 0.565 0.638
0.435 0.565 0.862
0.565 0.435 0.138
0.565 0.435 0.362
0.809 0.191 0.552
0.809 0.191 0.948
0.122 0.878 0.250
0.382 0.618 0.062
0.382 0.618 0.438
0.618 0.382 0.562
0.618 0.382 0.938
0.878 0.122 0.750
```

Below is a relaxed structure of LiCu2Te2, with properties calculated at the PBE-GGA level.

Its formation energy from raw total energies is -0.108 eV/atom. As for the polymorph energy (0 for the lowest one): 0.947 eV per formula unit. As for the space-group type: P4/mbm, No. 127. The calculation puts the final energy at -33.855 eV per cell.

```
LiCu2Te2
1.0
7.353 0.000 0.000
0.000 7.353 0.000
0.000 0.000 3.644
Li Cu Te
2 4 4
direct
0.000 0.000 0.000
0.500 0.500 0.000
0.120 0.380 0.000
0.380 0.880 0.000
0.620 0.120 0.000
0.880 0.620 0.000
0.182 0.682 0.500
0.318 0.182 0.500
0.682 0.818 0.500
0.818 0.318 0.500
```

Below is a relaxed structure of LiSe2O, with properties calculated at the PBE-GGA level.

Its formation energy from raw total energies is 0.330 eV/atom. As for the space-group type: R-3m, No. 166. The calculation puts the final energy at -12.520 eV per cell.

```
LiSe2O
1.0
1.546 0.893 8.181
-1.546 0.893 8.181
0.000 -1.786 8.181
Li Se O
1 2 1
direct
0.000 0.000 0.000
0.100 0.100 0.100
0.900 0.900 0.900
0.500 0.500 0.500
```

Below is a relaxed structure of BaY4Cd5, with properties calculated at the PBE-GGA level.

For the formation energy, the calculation gives -0.33 eV per atom. As for the space-group type: P4/mmm, No. 123. The calculation puts the final energy at -35.661 eV per cell.

```
BaY4Cd5
1.0
3.815 0.000 0.000
0.000 3.815 0.000
0.000 0.000 19.468
Ba Y Cd
1 4 5
direct
0.000 0.000 0.000
0.000 0.000 0.217
0.000 0.000 0.406
0.000 0.000 0.594
0.000 0.000 0.783
0.500 0.500 0.128
0.500 0.500 0.311
0.500 0.500 0.500
0.500 0.500 0.689
0.500 0.500 0.872
```